Density functional theory data (meta-GGA SCAN) for a PBEsol-optimized structure of BaCuAs.

Cell: 4.2863 4.2863 9.1960 Å, 90.00 90.00 120.00°
Space group P6_3/mmc (No. 194)
One atom of each set of equivalent atoms:
Ba 0.0000 0.0000 0.0000 [2 per cell]
Cu 0.3333 0.6667 0.2500 [2 per cell]
As 0.3333 0.6667 0.7500 [2 per cell]

## Properties
D(E_F) = 0.445 states/eV per cell
E_tot = -154.89 eV for the cell shown
formation enthalpy at 0 K = -0.836 eV/atom
theoretical density = 6.26 g cm⁻³



Density functional theory data (meta-GGA SCAN) for a PBEsol-optimized structure of KLuO2.

Cell: 3.3379 3.3379 18.3850 Å, 90.00 90.00 120.00°
Space group R-3m (No. 166, hexagonal axes)
One atom of each set of equivalent atoms:
K 0.0000 0.0000 0.0000 [3 per cell]
Lu 0.0000 0.0000 0.5000 [3 per cell]
O 0.0000 0.0000 0.2275 [6 per cell]

## Properties
D(E_F) = 0.000 states/eV per cell
E_tot = -266.24 eV for the cell shown
theoretical density = 6.91 g cm⁻³



Density functional theory data (meta-GGA SCAN) for a PBEsol-optimized structure of Y2AlFe3.

Cell: 5.1271 5.1271 12.5687 Å, 90.00 90.00 120.00°
Space group R-3m (No. 166, hexagonal axes)
One atom of each set of equivalent atoms:
Y 0.0000 0.0000 0.1219 [6 per cell]
Al 0.0000 0.0000 0.5000 [3 per cell]
Fe 0.0000 0.5000 0.0000 [9 per cell]

## Properties
D(E_F) = 19.060 states/eV per cell
E_tot = -355.70 eV for the cell shown
formation enthalpy at 0 K = -0.124 eV/atom
theoretical density = 6.48 g cm⁻³



Density functional theory data (meta-GGA SCAN) for a PBEsol-optimized structure of SiTe2Rh.

Cell: 4.3259 5.3475 7.0313 Å, 90.00 90.00 90.00°
Space group Amm2 (No. 38)
One atom of each set of equivalent atoms:
Si 0.0000 0.0000 0.0000 [2 per cell]
Te 0.0000 0.0000 0.3963 [2 per cell]
Te 0.5000 0.0000 0.7508 [2 per cell]
Rh 0.5000 0.0000 0.1651 [2 per cell]

## Properties
D(E_F) = 3.070 states/eV per cell
E_tot = -237.79 eV for the cell shown
theoretical density = 7.89 g cm⁻³



Density functional theory data (meta-GGA SCAN) for a PBEsol-optimized structure of Ca2PdSe.

Cell: 7.0535 7.0535 7.0535 Å, 90.00 90.00 90.00°
Space group Fm-3m (No. 225)
One atom of each set of equivalent atoms:
Ca 0.2500 0.2500 0.2500 [8 per cell]
Pd 0.0000 0.0000 0.0000 [4 per cell]
Se 0.0000 0.0000 0.5000 [4 per cell]

## Properties
E_tot = -307.36 eV for the cell shown
theoretical density = 5.03 g cm⁻³



Density functional theory data (meta-GGA SCAN) for a PBEsol-optimized structure of Co2MoRu.

Cell: 3.6229 3.6229 3.6572 Å, 90.00 90.00 90.00°
Space group P4/mmm (No. 123)
One atom of each set of equivalent atoms:
Co 0.0000 0.5000 0.0000 [2 per cell]
Mo 0.0000 0.0000 0.5000 [1 per cell]
Ru 0.5000 0.5000 0.5000 [1 per cell]

## Properties
D(E_F) = 3.229 states/eV per cell
E_tot = -103.76 eV for the cell shown
energy relative to the lowest polymorph listed for this composition = 0 meV/atom
formation enthalpy at 0 K = 0.139 eV/atom
theoretical density = 10.89 g cm⁻³